VASP calculation (PBE) on a geometry-optimized Sm2GaCuPt6 structure.

Computed properties:
ΔE_f: -3.01 eV/f.u.
E_tot: -223.28 eV/cell
crystal system: cubic
theoretical density: 12.97 Mg/m³

CIF file:
```
data_Sm2GaCuPt6
_cell_length_a 9.366
_cell_length_b 9.366
_cell_length_c 9.366
_cell_angle_alpha 90.00
_cell_angle_beta 90.00
_cell_angle_gamma 90.00
_symmetry_space_group_name_H-M 'F m -3 m'
_symmetry_Int_Tables_number 225
_symmetry_space_group_name_Hall '-F 4 2 3'
loop_
_atom_site_label
_atom_site_fract_x
_atom_site_fract_y
_atom_site_fract_z
Sm1 0.250 0.250 0.250
Ga1 0.000 0.000 0.000
Cu1 0.000 0.000 0.500
Pt1 0.000 0.000 0.250
```

VASP calculation (PBE) on a geometry-optimized SmGa2CuPt5 structure.

Computed properties:
ΔE_f: -3.90 eV/f.u.
E_tot: -48.97 eV/cell
crystal system: tetragonal
theoretical density: 12.35 Mg/m³

CIF file:
```
data_SmGa2CuPt5
_cell_length_a 4.001
_cell_length_b 4.001
_cell_length_c 11.163
_cell_angle_alpha 90.00
_cell_angle_beta 90.00
_cell_angle_gamma 90.00
_symmetry_space_group_name_H-M 'P 4/m m m'
_symmetry_Int_Tables_number 123
_symmetry_space_group_name_Hall '-P 4 2'
loop_
_atom_site_label
_atom_site_fract_x
_atom_site_fract_y
_atom_site_fract_z
Sm1 0.000 0.000 0.000
Ga1 0.500 0.500 0.220
Cu1 0.000 0.000 0.500
Pt1 0.000 0.500 0.356
Pt2 0.500 0.500 0.000
```

VASP calculation (PBE) on a geometry-optimized Sr2Ga4Cu3Pt structure.

Computed properties:
ΔE_f: -4.34 eV/f.u.
E_tot: -38.14 eV/cell
crystal system: tetragonal
theoretical density: 7.13 Mg/m³

CIF file:
```
data_Sr2Ga4Cu3Pt
_cell_length_a 4.289
_cell_length_b 4.289
_cell_length_c 10.632
_cell_angle_alpha 90.00
_cell_angle_beta 90.00
_cell_angle_gamma 90.00
_symmetry_space_group_name_H-M 'P -4 m 2'
_symmetry_Int_Tables_number 115
loop_
_symmetry_equiv_pos_as_xyz
'x,y,z'
'y,-x,-z'
'-x,-y,z'
'-y,x,-z'
'-x,y,z'
'-y,-x,-z'
'x,-y,z'
'y,x,-z'
loop_
_atom_site_label
_atom_site_fract_x
_atom_site_fract_y
_atom_site_fract_z
Sr1 0.000 0.500 0.248
Ga1 0.000 0.000 0.000
Ga2 0.000 0.500 0.628
Ga3 0.500 0.500 0.000
Cu1 0.000 0.500 0.869
Cu2 0.500 0.500 0.500
Pt1 0.000 0.000 0.500
```